1.
MnMoAs2O8 | the Alexandria database | PBE+U | optimized geometry; crystal system = tetragonal
1.0
-5.0859 -1.1867 2.4433
-0.0080 0.1281 -5.7643
3.6045 -4.2236 1.5534
O Mn Mo As
8 1 1 2
Direct
0.4879 0.6791 0.8089 O
0.3209 0.5121 0.1911 O
0.3209 0.1298 0.8089 O
0.9423 0.6256 0.6832 O
0.9423 0.2591 0.3168 O
0.7409 0.0577 0.6832 O
0.8702 0.6791 0.1911 O
0.3744 0.0577 0.3168 O
0.0000 0.0000 0.0000 Mn
0.2500 0.7500 0.5000 Mo
0.7500 0.2500 0.5000 As
0.5000 0.5000 0.0000 As

---

2.
TmUMoO6 | the Alexandria database | PBE+U | optimized geometry; crystal system = trigonal
1.0
5.6611 0.0000 0.0000
-2.8306 4.9027 0.0000
0.0000 0.0000 8.9009
O Mo U Tm
12 2 2 2
Direct
0.9815 0.6566 0.3705 O
0.6566 0.9815 0.8705 O
0.3434 0.0185 0.1295 O
0.3434 0.3249 0.3705 O
0.9815 0.3249 0.1295 O
0.3249 0.9815 0.6295 O
0.6566 0.6751 0.6295 O
0.0185 0.6751 0.8705 O
0.6751 0.0185 0.3705 O
0.3249 0.3434 0.8705 O
0.6751 0.6566 0.1295 O
0.0185 0.3434 0.6295 O
0.0000 0.0000 0.5000 Mo
0.0000 0.0000 0.0000 Mo
0.3333 0.6667 0.7500 U
0.6667 0.3333 0.2500 U
0.3333 0.6667 0.2500 Tm
0.6667 0.3333 0.7500 Tm

---

Final energy / eV/atom: -6.5937, -8.6194